[1]
# PBE Ca2LaCeP4, relaxed
# DFT formation energy   -1226 meV per atom
# M_tot   0.000 μB per atom
data_Ca2LaCeP4
_symmetry_space_group_name_H-M 'P 1 2/m 1'
_symmetry_Int_Tables_number 10
_symmetry_space_group_name_Hall '-P 2y'
_cell_length_a 7.101
_cell_length_b 4.208
_cell_length_c 7.300
_cell_angle_alpha 90.00
_cell_angle_beta 110.08
_cell_angle_gamma 90.00
loop_
_atom_site_label
_atom_site_fract_x
_atom_site_fract_y
_atom_site_fract_z
_atom_site_occupancy
Ca1 0.000 0.000 0.000 1
Ca2 0.000 0.500 0.500 1
La1 0.500 0.000 0.500 1
Ce1 0.500 0.500 0.000 1
P1 0.257 0.500 0.243 1
P2 0.264 0.000 0.764 1

[2]
# PBE CaLa2CeP4, relaxed
# DFT formation energy   -1416 meV per atom
# M_tot   0.016 μB per atom
data_CaLa2CeP4
_symmetry_space_group_name_H-M 'P 1 2/m 1'
_symmetry_Int_Tables_number 10
_symmetry_space_group_name_Hall '-P 2y'
_cell_length_a 7.239
_cell_length_b 4.220
_cell_length_c 7.247
_cell_angle_alpha 90.00
_cell_angle_beta 109.20
_cell_angle_gamma 90.00
loop_
_atom_site_label
_atom_site_fract_x
_atom_site_fract_y
_atom_site_fract_z
_atom_site_occupancy
Ca1 0.000 0.000 0.000 1
La1 0.000 0.500 0.500 1
La2 0.500 0.000 0.500 1
Ce1 0.500 0.500 0.000 1
P1 0.258 0.500 0.243 1
P2 0.260 0.000 0.761 1

[3]
# PBE CaLa2Ce3P6, relaxed
# DFT formation energy   -1460 meV per atom
# M_tot   0.121 μB per atom
data_CaLa2Ce3P6
_symmetry_space_group_name_H-M 'C 1 2/m 1'
_symmetry_Int_Tables_number 12
_symmetry_space_group_name_Hall '-C 2y'
_cell_length_a 18.156
_cell_length_b 4.168
_cell_length_c 8.333
_cell_angle_alpha 90.00
_cell_angle_beta 103.41
_cell_angle_gamma 90.00
loop_
_atom_site_label
_atom_site_fract_x
_atom_site_fract_y
_atom_site_fract_z
_atom_site_occupancy
Ca1 0.000 0.000 0.000 1
La1 0.165 0.500 0.330 1
Ce1 0.000 0.000 0.500 1
Ce2 0.166 0.500 0.834 1
P1 0.003 0.500 0.741 1
P2 0.164 0.000 0.590 1
P3 0.170 0.000 0.076 1

[4]
# PBE CaLaCePm, relaxed
# DFT formation energy   232 meV per atom
# M_tot   0.542 μB per atom
data_CaLaCePm
_symmetry_space_group_name_H-M 'F -4 3 m'
_symmetry_Int_Tables_number 216
_symmetry_space_group_name_Hall 'F -4 2 3'
_cell_length_a 8.337
_cell_length_b 8.337
_cell_length_c 8.337
_cell_angle_alpha 90.00
_cell_angle_beta 90.00
_cell_angle_gamma 90.00
loop_
_atom_site_label
_atom_site_fract_x
_atom_site_fract_y
_atom_site_fract_z
_atom_site_occupancy
Ca1 0.000 0.000 0.000 1
La1 0.250 0.250 0.750 1
Ce1 0.000 0.000 0.500 1
Pm1 0.250 0.250 0.250 1

[5]
# PBE CaLaCePr, relaxed
# DFT formation energy   225 meV per atom
# M_tot   0.530 μB per atom
data_CaLaCePr
_symmetry_space_group_name_H-M 'F -4 3 m'
_symmetry_Int_Tables_number 216
_symmetry_space_group_name_Hall 'F -4 2 3'
_cell_length_a 8.374
_cell_length_b 8.374
_cell_length_c 8.374
_cell_angle_alpha 90.00
_cell_angle_beta 90.00
_cell_angle_gamma 90.00
loop_
_atom_site_label
_atom_site_fract_x
_atom_site_fract_y
_atom_site_fract_z
_atom_site_occupancy
Ca1 0.000 0.000 0.000 1
La1 0.250 0.250 0.750 1
Ce1 0.000 0.000 0.500 1
Pr1 0.250 0.250 0.250 1

[6]
# PBE Ca2LaCeSb4, relaxed
# E_form (uncorrected)   -0.98 eV/atom
# M_tot   0.000 μB per atom
data_Ca2LaCeSb4
_symmetry_space_group_name_H-M 'P 1 2/m 1'
_symmetry_Int_Tables_number 10
_symmetry_space_group_name_Hall '-P 2y'
_cell_length_a 7.689
_cell_length_b 4.612
_cell_length_c 7.989
_cell_angle_alpha 90.00
_cell_angle_beta 110.33
_cell_angle_gamma 90.00
loop_
_atom_site_label
_atom_site_fract_x
_atom_site_fract_y
_atom_site_fract_z
_atom_site_occupancy
Ca1 0.000 0.000 0.000 1
Ca2 0.000 0.500 0.500 1
La1 0.500 0.000 0.500 1
Ce1 0.500 0.500 0.000 1
Sb1 0.254 0.500 0.244 1
Sb2 0.260 0.000 0.760 1

[7]
# PBE CaLaCe2Sb4, relaxed
# E_form (uncorrected)   -1.07 eV/atom
# M_tot   0.123 μB per atom
data_CaLaCe2Sb4
_symmetry_space_group_name_H-M 'P 1 2/m 1'
_symmetry_Int_Tables_number 10
_symmetry_space_group_name_Hall '-P 2y'
_cell_length_a 7.858
_cell_length_b 4.554
_cell_length_c 7.868
_cell_angle_alpha 90.00
_cell_angle_beta 109.49
_cell_angle_gamma 90.00
loop_
_atom_site_label
_atom_site_fract_x
_atom_site_fract_y
_atom_site_fract_z
_atom_site_occupancy
Ca1 0.000 0.000 0.000 1
La1 0.500 0.500 0.000 1
Ce1 0.000 0.500 0.500 1
Ce2 0.500 0.000 0.500 1
Sb1 0.246 0.000 0.741 1
Sb2 0.253 0.500 0.260 1

[8]
# PBE CaLa2CeSb4, relaxed
# E_form (uncorrected)   -1.11 eV/atom
# M_tot   0.023 μB per atom
data_CaLa2CeSb4
_symmetry_space_group_name_H-M 'P 1 2/m 1'
_symmetry_Int_Tables_number 10
_symmetry_space_group_name_Hall '-P 2y'
_cell_length_a 7.896
_cell_length_b 4.589
_cell_length_c 7.899
_cell_angle_alpha 90.00
_cell_angle_beta 109.41
_cell_angle_gamma 90.00
loop_
_atom_site_label
_atom_site_fract_x
_atom_site_fract_y
_atom_site_fract_z
_atom_site_occupancy
Ca1 0.000 0.000 0.000 1
La1 0.500 0.000 0.500 1
La2 0.500 0.500 0.000 1
Ce1 0.000 0.500 0.500 1
Sb1 0.241 0.000 0.743 1
Sb2 0.243 0.500 0.254 1

[9]
# PBE Ca2LaCeSe4, relaxed
# E_form (uncorrected)   -1.91 eV/atom
# M_tot   0.188 μB per atom
data_Ca2LaCeSe4
_symmetry_space_group_name_H-M 'P 1 2/m 1'
_symmetry_Int_Tables_number 10
_symmetry_space_group_name_Hall '-P 2y'
_cell_length_a 7.305
_cell_length_b 4.213
_cell_length_c 7.434
_cell_angle_alpha 90.00
_cell_angle_beta 109.11
_cell_angle_gamma 90.00
loop_
_atom_site_label
_atom_site_fract_x
_atom_site_fract_y
_atom_site_fract_z
_atom_site_occupancy
Ca1 0.000 0.000 0.000 1
Ca2 0.500 0.500 0.000 1
La1 0.000 0.500 0.500 1
Ce1 0.500 0.000 0.500 1
Se1 0.250 0.500 0.242 1
Se2 0.256 0.000 0.759 1

[10]
# PBE CaLaCe2Se4, relaxed
# E_form (uncorrected)   -1.88 eV/atom
# M_tot   0.318 μB per atom
data_CaLaCe2Se4
_symmetry_space_group_name_H-M 'I m m a'
_symmetry_Int_Tables_number 74
_symmetry_space_group_name_Hall '-I 2b 2'
_cell_length_a 8.457
_cell_length_b 8.512
_cell_length_c 12.004
_cell_angle_alpha 90.00
_cell_angle_beta 90.00
_cell_angle_gamma 90.00
loop_
_atom_site_label
_atom_site_fract_x
_atom_site_fract_y
_atom_site_fract_z
_atom_site_occupancy
Ca1 0.250 0.250 0.250 1
La1 0.000 0.000 0.000 1
Ce1 0.000 0.000 0.500 1
Ce2 0.250 0.250 0.750 1
Se1 0.000 0.005 0.252 1
Se2 0.246 0.250 0.497 1

[11]
# PBE CaLa2CeTe4, relaxed
# E_form (uncorrected)   -1.53 eV/atom
# M_tot   0.160 μB per atom
data_CaLa2CeTe4
_symmetry_space_group_name_H-M 'P 1 2/m 1'
_symmetry_Int_Tables_number 10
_symmetry_space_group_name_Hall '-P 2y'
_cell_length_a 7.866
_cell_length_b 4.520
_cell_length_c 7.902
_cell_angle_alpha 90.00
_cell_angle_beta 109.21
_cell_angle_gamma 90.00
loop_
_atom_site_label
_atom_site_fract_x
_atom_site_fract_y
_atom_site_fract_z
_atom_site_occupancy
Ca1 0.000 0.000 0.000 1
La1 0.500 0.000 0.500 1
La2 0.500 0.500 0.000 1
Ce1 0.000 0.500 0.500 1
Te1 0.241 0.500 0.244 1
Te2 0.243 0.000 0.751 1

[12]
# PBE CaLaCe2Te4, relaxed
# E_form (uncorrected)   -1.46 eV/atom
# M_tot   0.013 μB per atom
data_CaLaCe2Te4
_symmetry_space_group_name_H-M 'P 1 2/m 1'
_symmetry_Int_Tables_number 10
_symmetry_space_group_name_Hall '-P 2y'
_cell_length_a 7.858
_cell_length_b 4.492
_cell_length_c 7.864
_cell_angle_alpha 90.00
_cell_angle_beta 109.11
_cell_angle_gamma 90.00
loop_
_atom_site_label
_atom_site_fract_x
_atom_site_fract_y
_atom_site_fract_z
_atom_site_occupancy
Ca1 0.000 0.000 0.000 1
La1 0.500 0.500 0.000 1
Ce1 0.000 0.500 0.500 1
Ce2 0.500 0.000 0.500 1
Te1 0.244 0.000 0.749 1
Te2 0.244 0.500 0.247 1